First-principles (GGA+U) data for a relaxed structure of Rb5Mo2F12, as listed in the Alexandria database.

POSCAR file:
```
Rb5Mo2F12
1.0
6.737 -3.940 0.000
6.737 3.940 0.000
-3.712 0.000 6.673
Rb Mo F
5 2 12
direct
0.000 0.000 0.000
0.265 0.265 0.510
0.298 0.298 0.983
0.702 0.702 0.017
0.735 0.735 0.490
0.249 0.751 0.500
0.751 0.249 0.500
0.063 0.063 0.673
0.099 0.551 0.285
0.146 0.696 0.680
0.304 0.854 0.320
0.449 0.901 0.715
0.486 0.486 0.340
0.514 0.514 0.660
0.551 0.099 0.285
0.696 0.146 0.680
0.854 0.304 0.320
0.901 0.449 0.715
0.937 0.937 0.327
```

The electronic total energy is -4.771 eV/atom. For the magnetization, the calculation gives 0.26 μB per atom.